Here is a geometry-optimized MoPt structure from Alexandria. Energies are from PBE.

Properties
space group	No. 186
crystal system	hexagonal
formation enthalpy at 0 K	831	meV per atom
energy	-7.60	eV per atom
calculated volume	87.9	Å³/cell

Cell lengths 4.252, 4.252, 5.618 Å; angles 90.00, 90.00, 120.00 degrees
Sites, in units of the cell vectors:
Mo (0.333, 0.667, 0.319)
Mo (0.667, 0.333, 0.819)
Pt (0.333, 0.667, 0.763)
Pt (0.667, 0.333, 0.263)

Here is a geometry-optimized MoPt structure from Alexandria. Energies are from PBE.

Properties
space group	No. 194
crystal system	hexagonal
formation enthalpy at 0 K	555	meV per atom
energy	-7.88	eV per atom
calculated volume	73.4	Å³/cell

Cell lengths 4.008, 4.008, 5.273 Å; angles 90.00, 90.00, 120.00 degrees
Last column: magnetic moment on the atom in μB.
Sites, in units of the cell vectors:
Mo (0.333, 0.667, 0.250)  0.21
Mo (0.667, 0.333, 0.750)  0.21
Pt (0.000, 0.000, 0.000)  0.01
Pt (0.000, 0.000, 0.500)  0.01

Here is a geometry-optimized MoPt structure from Alexandria. Energies are from PBE.

Properties
space group	No. 51
crystal system	orthorhombic
formation enthalpy at 0 K	-340	meV per atom
energy	-8.78	eV per atom
calculated volume	61.7	Å³/cell

Cell lengths 4.509, 2.750, 4.976 Å; angles 90.00, 90.00, 90.00 degrees
Sites, in units of the cell vectors:
Mo (0.250, 0.000, 0.836)
Mo (0.750, 0.000, 0.164)
Pt (0.250, 0.500, 0.335)
Pt (0.750, 0.500, 0.665)

Here is a geometry-optimized MoPt4 structure from Alexandria. Energies are from PBE.

Properties
space group	No. 139
crystal system	tetragonal
formation enthalpy at 0 K	331	meV per atom
energy	-6.67	eV per atom
calculated volume	87.6	Å³/cell

Cell lengths 7.120, 7.120, 7.120 Å; angles 150.44, 150.44, 42.29 degrees
Last column: magnetic moment on the atom in μB.
Sites, in units of the cell vectors:
Mo (0.000, 0.000, 0.000)  1.55
Pt (0.750, 0.250, 0.500)  -0.03
Pt (0.404, 0.404, 0.000)  -0.02
Pt (0.596, 0.596, 0.000)  -0.02
Pt (0.250, 0.750, 0.500)  -0.03

Here is a geometry-optimized Mo3Pt2 structure from Alexandria. Energies are from PBE.

Properties
space group	No. 164
crystal system	trigonal
formation enthalpy at 0 K	470	meV per atom
energy	-8.44	eV per atom
calculated volume	89.0	Å³/cell
E above lowest polymorph	58.20	kJ per mole of atoms

Cell lengths 4.324, 4.324, 5.497 Å; angles 90.00, 90.00, 120.00 degrees
Last column: magnetic moment on the atom in μB.
Sites, in units of the cell vectors:
Mo (0.000, 0.000, 0.000)  0.50
Mo (0.667, 0.333, 0.606)  0.04
Mo (0.333, 0.667, 0.394)  0.04
Pt (0.667, 0.333, 0.126)  0.02
Pt (0.333, 0.667, 0.874)  0.02

Here is a geometry-optimized MoPt structure from Alexandria. Energies are from PBE.

Properties
space group	No. 221
crystal system	cubic
formation enthalpy at 0 K	220	meV per atom
energy	-8.22	eV per atom
calculated volume	32.1	Å³/cell

Cell lengths 3.179, 3.179, 3.179 Å; angles 90.00, 90.00, 90.00 degrees
Sites, in units of the cell vectors:
Mo (0.000, 0.000, 0.000)
Pt (0.500, 0.500, 0.500)

Here is a geometry-optimized Mo2Pt3 structure from Alexandria. Energies are from PBE.

Properties
space group	No. 43
crystal system	orthorhombic
formation enthalpy at 0 K	-140	meV per atom
energy	-8.10	eV per atom
calculated volume	158.0	Å³/cell
E above lowest polymorph	0.00	kJ per mole of atoms

Cell lengths 8.358, 7.327, 5.291 Å; angles 81.23, 60.04, 38.73 degrees
Sites, in units of the cell vectors:
Mo (0.185, 0.909, 0.360)
Mo (0.546, 0.360, 0.909)
Mo (0.341, 0.065, 0.704)
Mo (0.890, 0.704, 0.065)
Pt (0.730, 0.477, 0.332)
Pt (0.461, 0.332, 0.477)
Pt (0.773, 0.520, 0.789)
Pt (0.918, 0.789, 0.520)
Pt (0.079, 0.921, 0.921)
Pt (0.329, 0.171, 0.171)

Here is a geometry-optimized MoPt5 structure from Alexandria. Energies are from PBE.

Properties
space group	No. 216
crystal system	cubic
formation enthalpy at 0 K	185	meV per atom
energy	-6.65	eV per atom
calculated volume	98.9	Å³/cell
E above lowest polymorph	38.42	kJ per mole of atoms

Cell lengths 5.192, 5.192, 5.192 Å; angles 60.00, 60.00, 60.00 degrees
Sites, in units of the cell vectors:
Mo (0.000, 0.000, 0.000)
Pt (0.875, 0.375, 0.375)
Pt (0.750, 0.750, 0.750)
Pt (0.375, 0.875, 0.375)
Pt (0.375, 0.375, 0.375)
Pt (0.375, 0.375, 0.875)